*w*
Computed, not measured: a geometry-optimized Ca2PmTl structure at the GGA-PBE level of DFT.

a b c (Å): 4.922 4.922 5.291
angles (deg): 90.00 90.00 90.00
Positions (direct):
Ca (0.000, 0.500, 0.000)
Ca (0.500, 0.000, 0.000)
Pm (0.000, 0.000, 0.500)
Tl (0.500, 0.500, 0.500)

Output
Total magnetization ... 0.00 μB/f.u.
Crystal system ... tetragonal
Density of states at the Fermi level ... 1.29 states/eV per cell
Density ... 5.57 g/cm3

---

*x*
Computed, not measured: a geometry-optimized Ca2PmTl structure at the GGA-PBE level of DFT.

a b c (Å): 3.645 3.645 10.027
angles (deg): 90.00 90.00 90.00
Positions (direct):
Ca (0.000, 0.000, 0.213)
Ca (0.000, 0.000, 0.787)
Pm (0.500, 0.500, 0.500)
Tl (0.500, 0.500, 0.000)

Output
Total magnetization ... 0.00 μB/f.u.
Crystal system ... tetragonal
Density of states at the Fermi level ... 3.40 states/eV per cell
Density ... 5.35 g/cm3

---

*y*
Computed, not measured: a geometry-optimized Ca2PmTl structure at the GGA-PBE level of DFT.

a b c (Å): 5.520 5.520 10.191
angles (deg): 90.00 90.00 120.13
Positions (direct):
Ca (0.167, 0.833, 0.571)
Ca (0.167, 0.833, 0.929)
Ca (0.833, 0.167, 0.071)
Ca (0.833, 0.167, 0.429)
Pm (0.499, 0.501, 0.750)
Pm (0.501, 0.499, 0.250)
Tl (0.167, 0.833, 0.250)
Tl (0.833, 0.167, 0.750)

Output
Total magnetization ... 0.00 μB/f.u.
Crystal system ... orthorhombic
Density of states at the Fermi level ... 5.58 states/eV per cell
Density ... 5.31 g/cm3

---

*z*
Computed, not measured: a geometry-optimized Ca2PmTl structure at the GGA-PBE level of DFT.

a b c (Å): 5.693 5.693 5.693
angles (deg): 60.00 60.00 60.00
Positions (direct):
Ca (0.250, 0.250, 0.250)
Ca (0.750, 0.750, 0.750)
Pm (0.000, 0.000, 0.000)
Tl (0.500, 0.500, 0.500)

Output
Total magnetization ... 1.14 μB/f.u.
Crystal system ... cubic
Density of states at the Fermi level ... 4.89 states/eV per cell
Density ... 5.47 g/cm3

---

Quick ranking, most stable first: *w*, *y*, *x*, *z*.